# TcNi3Rh12 | Alexandria via LeMat-Bulk | GGA-PBE | relaxed
data_TcNi3Rh12
_chemical_formula_sum 'Tc1 Ni3 Rh12'
_cell_length_a 3.806
_cell_length_b 3.806
_cell_length_c 15.198
_cell_angle_alpha 90.00
_cell_angle_beta 90.00
_cell_angle_gamma 90.00
_space_group_name_H-M_alt 'P 4/m m m'
_space_group_IT_number 123
_space_group_name_Hall '-P 4 2'
loop_
_atom_site_label
_atom_site_fract_x
_atom_site_fract_y
_atom_site_fract_z
Tc1 0.000 0.000 0.000
Ni1 0.000 0.000 0.255
Ni2 0.000 0.000 0.500
Rh1 0.000 0.500 0.126
Rh2 0.000 0.500 0.376
Rh3 0.500 0.500 0.000
Rh4 0.500 0.500 0.251
Rh5 0.500 0.500 0.500
# * crystal system: tetragonal
# * energy relative to the elements: 0.6 kJ per mole of atoms